# LaZr

A geometry-optimized LaZr structure (PBE, Alexandria).

Results
**Calculated density**: 6725 kg/m3
**Energy above the lowest structure with this stoichiometry**: 0.098 eV per atom
**DOS(E_F)**: 16.58 states/eV/cell
**Raw total energy**: -6.523 eV/atom
**DFT formation energy**: 0.2149 eV/atom

a b c (Å): 3.4068 16.8333 5.9449
angles (deg): 90.00 90.00 90.00
Closest atoms and distances in Å follow each position.
Space group Pmmn (No. 59, origin choice 2)
Symmetry-distinct sites (fractional):
1 La 0.2500 0.0860 0.0804 (multiplicity 4)  6 Zr 3.38-3.45, 6 La 3.41-3.49
2 La 0.2500 0.7500 0.7252 (multiplicity 2)  6 Zr 3.25-3.61, 6 La 3.41-3.44
3 Zr 0.2500 0.2500 0.7396 (multiplicity 2)  6 La 3.25-3.61, 6 Zr 3.41-3.51
4 Zr 0.2500 0.5760 0.4167 (multiplicity 4)  6 Zr 3.23-3.51, 6 La 3.38-3.46